## Ge2OsCl2 (GGA-PBE)

Data for a relaxed structure of Ge2OsCl2.

Cell: 6.9296 6.9296 5.0052 Å, 90.00 90.00 90.00°
Last column: nearest neighbours and their distance in Å.
Fractional coordinates of all 10 atoms:
Ge (0.2470, 0.2530, 0.0000)  2 Os 2.45, 2 Cl 2.58
Ge (0.2530, 0.7530, 0.0000)  2 Os 2.45, 2 Cl 2.58
Ge (0.7470, 0.2470, 0.0000)  2 Os 2.45, 2 Cl 2.58
Ge (0.7530, 0.7470, 0.0000)  2 Os 2.45, 2 Cl 2.58
Os (0.0000, 0.0000, 0.0000)  4 Ge 2.45
Os (0.5000, 0.5000, 0.0000)  4 Ge 2.45
Cl (0.1830, 0.3170, 0.5000)  2 Ge 2.58
Cl (0.3170, 0.8170, 0.5000)  2 Ge 2.58
Cl (0.6830, 0.1830, 0.5000)  2 Ge 2.58
Cl (0.8170, 0.6830, 0.5000)  2 Ge 2.58

The size of the total moment comes out at 1.76 μB per formula unit. The calculation puts the density of states at the Fermi level at 0.93 states/eV per atom. The calculation puts the uncorrected formation energy at 305.4 meV per atom. For the energy above the lowest structure with this stoichiometry, the calculation gives 0.000 eV/atom. As for the density: 5.62 g cm⁻³.